Entry 1:
The following is a DFT calculation (GGA-PBE) of an optimized crystal structure of PrSiPdN.

```
8
Lattice="3.939 0.000 0.000 0.000 3.939 0.000 0.000 0.000 8.559" Properties=species:S:1:pos:R:3 pbc="T T T"
Pr 0.000 1.969 7.252
Pr 1.969 0.000 1.307
Si 0.000 1.969 2.845
Si 1.969 0.000 5.714
Pd 0.000 0.000 4.279
Pd 1.969 1.969 4.279
N 1.969 0.000 7.459
N 0.000 1.969 1.099
```

Properties
Formation energy without anion corrections ... -1.088 eV/atom
Space group ... No. 129
Crystal system ... tetragonal
N(E_F) ... 1.98 states/eV/cell

Entry 2:
The following is a DFT calculation (GGA-PBE) of an optimized crystal structure of Li2SbPO2F6.

```
24
Lattice="5.457 -0.208 -0.062 1.185 7.952 -0.417 0.473 -0.299 8.300" Properties=species:S:1:pos:R:3 pbc="T T T"
Li 5.890 3.105 7.909
Li 5.040 0.003 4.544
Li 3.686 7.629 3.831
Li 1.686 5.408 2.196
Sb 4.448 6.388 0.961
Sb 2.699 1.064 6.925
P 5.336 5.274 5.598
P 1.446 1.930 2.174
O 5.582 4.961 7.042
O 4.995 6.673 5.190
O 2.300 0.760 2.527
O 0.956 2.137 0.779
F 6.071 6.855 2.436
F 4.276 4.280 5.025
F 5.672 1.775 3.103
F 5.322 4.609 1.306
F 4.225 2.202 7.614
F 3.618 1.254 5.128
F 3.500 6.064 2.745
F 2.670 5.529 0.474
F 1.693 2.698 6.540
F 1.132 5.026 4.811
F 2.159 3.269 2.651
F 1.207 0.194 5.491
```

Properties
Formation energy without anion corrections ... -2.508 eV/atom
Space group ... No. 1
Crystal system ... triclinic
N(E_F) ... 0.00 states/eV/cell

Entry 3:
The following is a DFT calculation (GGA-PBE) of an optimized crystal structure of PmRePb2O8.

```
12
Lattice="-4.203 -2.666 -1.527 0.446 -3.096 4.151 -3.991 4.236 3.588" Properties=species:S:1:pos:R:3 pbc="T T T"
Pm -1.995 2.118 1.794
Re 0.000 0.000 0.000
Pb -4.896 0.321 4.025
Pb -2.852 -1.848 2.188
O -1.195 -2.141 3.884
O -2.780 -4.273 1.952
O -4.207 -1.876 0.220
O -6.553 0.614 2.329
O -4.967 2.746 4.261
O -3.540 0.349 5.993
O -4.571 -1.839 3.601
O -3.177 0.312 2.612
```

Properties
Formation energy without anion corrections ... -1.625 eV/atom
Space group ... No. 10
Crystal system ... monoclinic
N(E_F) ... 2.69 states/eV/cell